# PmCu2H8Rh3

PmCu2H8Rh3 after structural relaxation (PBE, Alexandria via LeMat-Bulk).

Summary:
Calculated density ... 7.6 g/cm3
Magnetic moment ... 0.000 μB/cell
Electronic total energy ... -191.828 eV per cell
N(E_F) ... 6.87 states/eV/cell

a b c (Å): 5.7846 5.7846 13.2881
angles (deg): 90.00 90.00 120.00
Space group R3m (No. 160, hexagonal axes)
Asymmetric unit:
1 Pm 0.0000 0.0000 0.0000 [3 per cell]
2 Cu 0.0000 0.0000 0.3857 [3 per cell]
3 Cu 0.0000 0.0000 0.7516 [3 per cell]
4 H 0.0000 0.0000 0.1661 [3 per cell]
5 H 0.0000 0.0000 0.6206 [3 per cell]
6 H 0.0167 0.5083 0.1418 [9 per cell]
7 H 0.2099 0.4198 0.9487 [9 per cell]
8 Rh 0.1697 0.3395 0.2139 [9 per cell]

=====

# PmCu2H8Rh

PmCu2H8Rh after structural relaxation (PBE, Alexandria via LeMat-Bulk).

Summary:
Calculated density ... 6.0 g/cm3
Magnetic moment ... 0.000 μB/cell
Electronic total energy ... -49.535 eV per cell
N(E_F) ... 1.05 states/eV/cell

a b c (Å): 4.484 4.621 5.082
angles (deg): 88.48 89.99 89.95
Space group P-1 (No. 2)
Asymmetric unit:
1 Pm 0.000 0.000 0.000 [1 per cell]
2 Cu 0.498 0.495 0.239 [2 per cell]
3 H 0.224 0.500 0.999 [2 per cell]
4 H 0.236 0.242 0.402 [2 per cell]
5 H 0.237 0.758 0.599 [2 per cell]
6 H 0.500 0.126 0.809 [2 per cell]
7 Rh 0.500 0.000 0.500 [1 per cell]

=====

# Pm2CuH6Ru

Pm2CuH6Ru after structural relaxation (PBE, Alexandria via LeMat-Bulk).

Summary:
Calculated density ... 7.5 g/cm3
Magnetic moment ... 0.001 μB/cell
Electronic total energy ... -93.871 eV per cell
N(E_F) ... 9.52 states/eV/cell

a b c (Å): 7.364 7.522 5.199
angles (deg): 90.00 134.58 90.00
Space group C2/m (No. 12)
Asymmetric unit:
1 Pm 0.000 0.250 0.000 [4 per cell]
2 Cu 0.000 0.000 0.500 [2 per cell]
3 H 0.000 0.261 0.500 [4 per cell]
4 H 0.242 0.500 0.502 [4 per cell]
5 H 0.242 0.500 0.981 [4 per cell]
6 Ru 0.000 0.500 0.500 [2 per cell]

=====

# PmCuSbH

PmCuSbH after structural relaxation (PBE, Alexandria via LeMat-Bulk).

Summary:
Calculated density ... 7.7 g/cm3
E above lowest polymorph ... 383.6 meV/atom
Magnetic moment ... 0.000 μB/cell
N(E_F) ... 0.23 states/eV/cell

a b c (Å): 6.581 6.581 6.581
angles (deg): 90.00 90.00 90.00
Space group F-43m (No. 216)
Asymmetric unit:
1 Pm 0.000 0.000 0.000 [4 per cell]
2 Cu 0.250 0.250 0.250 [4 per cell]
3 Sb 0.000 0.000 0.500 [4 per cell]
4 H 0.250 0.250 0.750 [4 per cell]

=====

# PmCuSbH

PmCuSbH after structural relaxation (PBE, Alexandria via LeMat-Bulk).

Summary:
Calculated density ... 7.6 g/cm3
E above lowest polymorph ... 0.0 meV/atom
Magnetic moment ... 0.000 μB/cell
N(E_F) ... 0.05 states/eV/cell

a b c (Å): 4.3396 4.3396 4.4168
angles (deg): 90.00 90.00 120.00
Space group P3m1 (No. 156)
Asymmetric unit:
1 Pm 0.0000 0.0000 0.0000 [1 per cell]
2 Cu 0.6667 0.3333 0.5951 [1 per cell]
3 Sb 0.3333 0.6667 0.4703 [1 per cell]
4 H 0.6667 0.3333 0.9710 [1 per cell]

=====

# Pr4Cu2H

Pr4Cu2H after structural relaxation (PBE, Alexandria via LeMat-Bulk).

Summary:
Calculated density ... 6.6 g/cm3
Magnetic moment ... 0.000 μB/cell
Electronic total energy ... -62.910 eV per cell
N(E_F) ... 13.08 states/eV/cell

a b c (Å): 4.857 4.857 14.741
angles (deg): 90.00 90.00 90.00
Space group I4/mmm (No. 139)
Asymmetric unit:
1 Pr 0.000 0.000 0.193 [4 per cell]
2 Pr 0.000 0.500 0.000 [4 per cell]
3 Cu 0.000 0.000 0.379 [4 per cell]
4 H 0.000 0.000 0.000 [2 per cell]

=====

# Pr12Cu3H5

Pr12Cu3H5 after structural relaxation (PBE, Alexandria via LeMat-Bulk).

Summary:
Calculated density ... 6.3 g/cm3
Magnetic moment ... 0.002 μB/cell
Electronic total energy ... -716.954 eV per cell
N(E_F) ... 163.22 states/eV/cell

a b c (Å): 15.808 15.808 15.808
angles (deg): 90.00 90.00 90.00
Space group Ia-3d (No. 230)
Asymmetric unit:
1 Pr 0.038 0.061 0.652 [96 per cell]
2 Cu 0.000 0.250 0.125 [24 per cell]
3 H 0.000 0.000 0.000 [16 per cell]
4 H 0.000 0.250 0.375 [24 per cell]

=====

# PrCuH4

PrCuH4 after structural relaxation (PBE, Alexandria via LeMat-Bulk).

Summary:
Calculated density ... 5.7 g/cm3
Magnetic moment ... 0.000 μB/cell
Electronic total energy ... -47.423 eV per cell
N(E_F) ... 1.50 states/eV/cell

a b c (Å): 7.500 4.792 3.929
angles (deg): 90.00 121.39 90.00
Space group C2/m (No. 12)
Asymmetric unit:
1 Pr 0.000 0.000 0.000 [2 per cell]
2 Cu 0.000 0.500 0.500 [2 per cell]
3 H 0.169 0.245 0.669 [8 per cell]